Material: Ga2PS6
Method: DFT, PBE-GGA
State: relaxed

Results
The calculation puts the total energy at -78.230 eV for the cell shown. The density of states at the Fermi level comes out at 0.88 states/eV per atom. Its space-group type is C2/c, No. 15.

a = 6.144 Å, b = 9.160 Å, c = 9.160 Å
α = 90.93°, β = 70.30°, γ = 70.30°
Site moments in Bohr magnetons follow the coordinates.
Fractional coordinates of all 18 atoms:
Ga1 0.554 0.812 0.660  0.00
S1 0.061 0.754 0.052  0.07
S2 0.122 0.226 0.585  0.06
S3 0.200 0.810 0.640  0.10
S4 0.439 0.948 0.246  0.07
S5 0.622 0.585 0.226  0.06
Ga2 0.946 0.340 0.188  0.00
S6 0.878 0.774 0.415  0.06
S7 0.561 0.052 0.754  0.07
S8 0.378 0.415 0.774  0.06
Ga3 0.446 0.188 0.340  0.00
P1 0.750 0.763 0.237  0.00
S9 0.939 0.246 0.948  0.07
S10 0.300 0.360 0.190  0.10
Ga4 0.054 0.660 0.812  0.00
P2 0.250 0.237 0.763  0.00
S11 0.800 0.190 0.360  0.10
S12 0.700 0.640 0.810  0.10